Entry 1:
Material: Zr2ScP
Method: DFT, PBE
State: optimized geometry

* ΔE_f: -0.4847 eV/atom
* N(E_F): 8.37 states/eV per cell
* crystal system: orthorhombic
* calculated density: 5.15 g/cm³

Cell: 3.3849 4.7367 10.3871 Å, 90.00 90.00 90.00°
Closest atoms and distances in Å follow each position.
Space group Imm2 (No. 44)
Unique sites:
Zr (0.0000, 0.0000, 0.0000) x2  2 P 2.60
Zr (0.0000, 0.5000, 0.1863) x2  4 P 2.91, 2 Zr 3.06, 2 Sc 3.10
Sc (0.0000, 0.0000, 0.3791) x2  2 P 2.60
P (0.0000, 0.5000, 0.6896) x2  2 Sc 2.60, 2 Zr 2.60

---

Entry 2:
Material: Zr2ScP
Method: DFT, PBE
State: optimized geometry

* ΔE_f: -0.3953 eV/atom
* N(E_F): 6.59 states/eV per cell
* crystal system: tetragonal
* calculated density: 5.45 g/cm³

Cell: 4.1367 4.1367 9.1952 Å, 90.00 90.00 90.00°
Closest atoms and distances in Å follow each position.
Space group I4/mmm (No. 139)
Unique sites:
Zr (0.0000, 0.5000, 0.2500) x4  4 Zr 2.93, 4 Sc 3.09, 4 P 3.09
Sc (0.0000, 0.0000, 0.0000) x2  4 P 2.93, 8 Zr 3.09
P (0.0000, 0.0000, 0.5000) x2  4 Sc 2.93, 8 Zr 3.09

---

Entry 3:
Material: ZrSc2P3
Method: DFT, PBE
State: optimized geometry

* ΔE_f: -1.4661 eV/atom
* N(E_F): 6.30 states/eV per cell
* crystal system: orthorhombic
* calculated density: 4.08 g/cm³

Cell: 7.4818 5.3122 11.2358 Å, 90.00 90.00 90.00°
Closest atoms and distances in Å follow each position.
Space group Pnma (No. 62)
Unique sites:
Zr (0.1237, 0.2500, 0.0837) x4  6 P 2.64-2.66
Sc (0.1248, 0.2500, 0.4168) x4  6 P 2.64-2.66
Sc (0.1246, 0.2500, 0.7496) x4  6 P 2.63-2.66
P (0.1248, 0.7500, 0.4161) x4  5 Sc 2.64-2.66, 1 Zr 2.66
P (0.1254, 0.7500, 0.7504) x4  2 Zr 2.64-2.65, 4 Sc 2.64-2.66
P (0.1265, 0.7500, 0.0838) x4  3 Sc 2.63-2.65, 3 Zr 2.66

---

Entry 4:
Material: Zr3ScP4
Method: DFT, PBE
State: optimized geometry

* ΔE_f: -1.3883 eV/atom
* N(E_F): 8.24 states/eV per cell
* crystal system: monoclinic
* calculated density: 4.94 g/cm³

Cell: 6.4983 7.4831 6.4843 Å, 90.00 109.38 90.00°
Closest atoms and distances in Å follow each position.
Space group P2/c (No. 13)
Unique sites:
Zr (0.0000, 0.1234, 0.2500) x2  6 P 2.64-2.66
Zr (0.5000, 0.1239, 0.7500) x2  6 P 2.64-2.67
Zr (0.5000, 0.3736, 0.2500) x2  6 P 2.64-2.67
Sc (0.0000, 0.3756, 0.7500) x2  6 P 2.63-2.64
P (0.2476, 0.3761, 0.5009) x4  2 Sc 2.63-2.64, 4 Zr 2.66-2.67
P (0.2492, 0.1270, 0.9981) x4  1 Sc 2.63, 5 Zr 2.64-2.66

---

Entry 5:
Material: ZrSc2P
Method: DFT, PBE
State: optimized geometry

* ΔE_f: -0.5879 eV/atom
* N(E_F): 7.60 states/eV per cell
* crystal system: orthorhombic
* calculated density: 4.38 g/cm³

Cell: 3.9661 3.7410 10.8389 Å, 90.00 90.00 90.00°
Closest atoms and distances in Å follow each position.
Space group Amm2 (No. 38)
Unique sites:
Zr (0.0000, 0.0000, 0.0000) x2  4 P 2.82, 3 Sc 3.03
Sc (0.0000, 0.0000, 0.7200) x2  2 P 2.58
Sc (0.5000, 0.0000, 0.3091) x2  1 P 2.80, 4 Sc 2.89
P (0.5000, 0.0000, 0.5676) x2  3 Sc 2.58-2.80, 4 Zr 2.82

---

Entry 6:
Material: Zr2ScP
Method: DFT, PBE
State: optimized geometry

* ΔE_f: -0.5739 eV/atom
* N(E_F): 3.87 states/eV per cell
* crystal system: tetragonal
* calculated density: 5.41 g/cm³

Cell: 3.4384 3.4384 6.7114 Å, 90.00 90.00 90.00°
Closest atoms and distances in Å follow each position.
Space group P4mm (No. 99)
Unique sites:
Zr (0.0000, 0.0000, 0.0000) x1  4 Sc 3.11, 8 Zr 3.12-3.44, 2 P 3.33-3.38
Zr (0.5000, 0.5000, 0.2914) x1  4 P 2.79, 1 Sc 2.81, 4 Zr 3.12
Sc (0.5000, 0.5000, 0.7106) x1  5 Zr 2.81-3.11, 4 P 2.82
P (0.0000, 0.0000, 0.4966) x1  4 Zr 2.79, 4 Sc 2.82

---

Entry 7:
Material: Zr2ScP
Method: DFT, PBE
State: optimized geometry

* ΔE_f: -0.5856 eV/atom
* N(E_F): 15.60 states/eV per cell
* crystal system: trigonal
* calculated density: 4.79 g/cm³

Cell: 3.5176 3.5176 25.0742 Å, 90.00 90.00 120.00°
Closest atoms and distances in Å follow each position.
Space group R-3m (No. 166, hexagonal axes)
Unique sites:
Zr (0.0000, 0.0000, 0.2290) x6  3 P 2.56
Sc (0.0000, 0.0000, 0.0000) x3  6 Zr 3.31, 6 Sc 3.52
P (0.0000, 0.0000, 0.5000) x3  6 Zr 2.56

---

Entry 8:
Material: ZrSc2P
Method: DFT, PBE
State: optimized geometry

* ΔE_f: 0.1218 eV/atom
* N(E_F): 15.58 states/eV per cell
* crystal system: trigonal
* calculated density: 3.83 g/cm³

Cell: 3.2177 3.2177 30.7401 Å, 90.00 90.00 120.00°
Closest atoms and distances in Å follow each position.
Space group R-3m (No. 166, hexagonal axes)
Unique sites:
Zr (0.0000, 0.0000, 0.0000) x3  6 Sc 3.17, 6 Zr 3.22
Sc (0.0000, 0.0000, 0.4170) x6  1 P 2.55
P (0.0000, 0.0000, 0.5000) x3  2 Sc 2.55

---

Entry 9:
Material: ZrSc2P
Method: DFT, PBE
State: optimized geometry

* ΔE_f: -0.8093 eV/atom
* N(E_F): 14.61 states/eV per cell
* crystal system: orthorhombic
* calculated density: 4.40 g/cm³

Cell: 3.6184 10.6222 8.3272 Å, 90.00 90.00 90.00°
Closest atoms and distances in Å follow each position.
Space group Cmcm (No. 63)
Unique sites:
Zr (0.0000, 0.0649, 0.2500) x4  2 P 2.72
Sc (0.0000, 0.3604, 0.0488) x8  3 P 2.70-2.78
P (0.0000, 0.2435, 0.7500) x4  6 Sc 2.70-2.78, 2 Zr 2.72

---

Entry 10:
Material: ZrSc2P
Method: DFT, PBE
State: optimized geometry

* ΔE_f: -0.5638 eV/atom
* N(E_F): 16.25 states/eV per cell
* crystal system: trigonal
* calculated density: 4.00 g/cm³

Cell: 3.4605 3.4605 25.4649 Å, 90.00 90.00 120.00°
Closest atoms and distances in Å follow each position.
Space group R-3m (No. 166, hexagonal axes)
Unique sites:
Zr (0.0000, 0.0000, 0.0000) x3  6 Sc 3.31, 6 Zr 3.46
Sc (0.0000, 0.0000, 0.2295) x6  3 P 2.56
P (0.0000, 0.0000, 0.5000) x3  6 Sc 2.56

---

Entry 11:
Material: Zr3ScP
Method: DFT, PBE
State: optimized geometry

* ΔE_f: -0.3562 eV/atom
* N(E_F): 4.28 states/eV per cell
* ΔE to the lowest computed polymorph: 0 meV per atom
* crystal system: cubic
* calculated density: 4.82 g/cm³

Cell: 4.9391 4.9391 4.9391 Å, 90.00 90.00 90.00°
Closest atoms and distances in Å follow each position.
Space group Pm-3m (No. 221)
Unique sites:
Zr (0.0000, 0.0000, 0.5000) x3  2 P 2.47
Sc (0.5000, 0.5000, 0.5000) x1  12 Zr 3.49
P (0.0000, 0.0000, 0.0000) x1  6 Zr 2.47

---

Entry 12:
Material: ZrSc2P
Method: DFT, PBE
State: optimized geometry

* ΔE_f: -0.3309 eV/atom
* N(E_F): 10.41 states/eV per cell
* crystal system: trigonal
* calculated density: 3.80 g/cm³

Cell: 3.3992 3.3992 27.8214 Å, 90.00 90.00 120.00°
Closest atoms and distances in Å follow each position.
Space group R-3m (No. 166, hexagonal axes)
Unique sites:
Zr (0.0000, 0.0000, 0.0000) x3  2 Sc 3.06, 6 Zr 3.40
Sc (0.0000, 0.0000, 0.1101) x6  3 P 2.52
P (0.0000, 0.0000, 0.5000) x3  6 Sc 2.52

---

Entry 13:
Material: Zr3ScP
Method: DFT, PBE
State: optimized geometry

* ΔE_f: 1.2207 eV/atom
* N(E_F): 9.81 states/eV per cell
* ΔE to the lowest computed polymorph: 1577 meV per atom
* crystal system: cubic
* calculated density: 4.78 g/cm³

Cell: 4.9517 4.9517 4.9517 Å, 90.00 90.00 90.00°
Closest atoms and distances in Å follow each position.
Space group Pm-3m (No. 221)
Unique sites:
Zr (0.0000, 0.0000, 0.5000) x3  2 Sc 2.48
Sc (0.0000, 0.0000, 0.0000) x1  6 Zr 2.48
P (0.5000, 0.5000, 0.5000) x1  12 Zr 3.50

---

Entry 14:
Material: Zr2ScP
Method: DFT, PBE
State: optimized geometry

* ΔE_f: -0.1549 eV/atom
* N(E_F): 24.00 states/eV per cell
* crystal system: cubic
* calculated density: 5.59 g/cm³

Cell: 6.7467 6.7467 6.7467 Å, 90.00 90.00 90.00°
Closest atoms and distances in Å follow each position.
Space group F-43m (No. 216)
Unique sites:
Zr (0.0000, 0.0000, 0.0000) x4  4 Zr 2.92, 4 Sc 2.92
Zr (0.2500, 0.2500, 0.2500) x4  4 Zr 2.92, 4 P 2.92
Sc (0.2500, 0.2500, 0.7500) x4  4 Zr 2.92, 4 P 2.92
P (0.0000, 0.0000, 0.5000) x4  4 Zr 2.92, 4 Sc 2.92

---

Entry 15:
Material: Zr2ScP
Method: DFT, PBE
State: optimized geometry

* ΔE_f: -0.8039 eV/atom
* N(E_F): 14.88 states/eV per cell
* crystal system: orthorhombic
* calculated density: 5.33 g/cm³

Cell: 3.5944 10.5891 8.4539 Å, 90.00 90.00 90.00°
Closest atoms and distances in Å follow each position.
Space group Cmcm (No. 63)
Unique sites:
Zr (0.0000, 0.1385, 0.0451) x8  3 P 2.69-2.84
Sc (0.0000, 0.4324, 0.2500) x4  2 P 2.77
P (0.0000, 0.2663, 0.7500) x4  6 Zr 2.69-2.84, 2 Sc 2.77

---

Entry 16:
Material: Zr2ScP
Method: DFT, PBE
State: optimized geometry

* ΔE_f: -0.5940 eV/atom
* N(E_F): 9.98 states/eV per cell
* crystal system: trigonal
* calculated density: 4.89 g/cm³

Cell: 3.4743 3.4743 25.1557 Å, 90.00 90.00 120.00°
Closest atoms and distances in Å follow each position.
Space group R3m (No. 160, hexagonal axes)
Unique sites:
Zr (0.0000, 0.0000, 0.0000) x3  9 Zr 3.19-3.47, 3 Sc 3.35
Zr (0.0000, 0.0000, 0.2349) x3  3 P 2.58
Sc (0.0000, 0.0000, 0.7733) x3  3 P 2.56
P (0.0000, 0.0000, 0.5035) x3  3 Sc 2.56, 3 Zr 2.58

---

Entry 17:
Material: P2Se
Method: DFT, PBE
State: optimized geometry

* N(E_F): 4.21 states/eV per cell
* ΔE to the lowest computed polymorph: 283 meV per atom
* crystal system: tetragonal
* calculated density: 3.98 g/cm³

Cell: 3.2070 3.2070 11.4283 Å, 90.00 90.00 90.00°
Closest atoms and distances in Å follow each position.
Space group I4/mmm (No. 139)
Unique sites:
P (0.0000, 0.0000, 0.2226) x4  4 P 2.35, 1 Se 2.54
Se (0.0000, 0.0000, 0.0000) x2  2 P 2.54

---

Entry 18:
Material: P2Se
Method: DFT, PBE
State: optimized geometry

* N(E_F): 4.95 states/eV per cell
* ΔE to the lowest computed polymorph: 292 meV per atom
* crystal system: tetragonal
* calculated density: 4.34 g/cm³

Cell: 6.4968 6.4968 5.1085 Å, 90.00 90.00 90.00°
Closest atoms and distances in Å follow each position.
Space group I4_1/amd (No. 141, origin choice 2)
Unique sites:
P (0.0000, 0.0000, 0.0000) x8  2 Se 2.51, 4 P 2.63
Se (0.0000, 0.2500, 0.3750) x4  4 P 2.51

---

Entry 19:
Material: P3Se
Method: DFT, PBE
State: optimized geometry

* N(E_F): 0.60 states/eV per cell
* ΔE to the lowest computed polymorph: 17 meV per atom
* crystal system: triclinic
* calculated density: 2.84 g/cm³

Cell: 3.2913 4.1804 8.2078 Å, 76.01 78.95 67.28°
Closest atoms and distances in Å follow each position.
Space group P1 (No. 1)
Unique sites:
P (0.0000, 0.0000, 0.0000) x1  3 P 2.18-2.28
P (0.0986, 0.5675, 0.2360) x1  1 P 2.28, 2 Se 2.30
P (0.6691, 0.7770, 0.8756) x1  2 P 2.18
Se (0.4389, 0.7254, 0.4078) x1  2 P 2.30

---

Entry 20:
Material: P3Se
Method: DFT, PBE
State: optimized geometry

* N(E_F): 3.60 states/eV per cell
* ΔE to the lowest computed polymorph: 846 meV per atom
* crystal system: cubic
* calculated density: 4.38 g/cm³

Cell: 4.0252 4.0252 4.0252 Å, 90.00 90.00 90.00°
Closest atoms and distances in Å follow each position.
Space group Pm-3m (No. 221)
Unique sites:
P (0.0000, 0.0000, 0.5000) x3  4 Se 2.85, 8 P 2.85
Se (0.5000, 0.5000, 0.5000) x1  12 P 2.85